A relaxed structure of Cr2CuAsO6, computed with GGA+U.

Its density of states at the Fermi level is 2.32 states/eV per cell. The value obtained for the total energy is -6.749 eV/atom. The value obtained for the magnetization is 5.939 μB per formula unit. As for the mass density: 5.3 g/cm3.

abc: 5.1021 5.1021 13.9963
angles: 90.00 90.00 120.00
Last column: nearest neighbours and their distance in Å.
Space group R3 (No. 146, hexagonal axes)
Inequivalent atoms, fractional coordinates:
1 Cr 0.0000 0.0000 0.0000 x3  6 O 2.06
2 Cr 0.0000 0.0000 0.4909 x3  6 O 2.01-2.06
3 Cu 0.0000 0.0000 0.2460 x3  3 O 1.95
4 As 0.0000 0.0000 0.8025 x3  6 O 1.84-1.95
5 O 0.0197 0.3417 0.4076 x9  1 As 1.84, 2 Cr 2.06
6 O 0.0624 0.6933 0.5620 x9  1 Cu 1.95, 1 As 1.95, 2 Cr 2.01-2.06